VASP calculation (meta-GGA SCAN) on ReNi2Au at its PBEsol-relaxed geometry.

Summary:
The value obtained for the total energy is -43.1013 eV/atom.

Unit cell a=2.6634 b=2.6634 c=7.3399 alpha=90.00 beta=90.00 gamma=90.00
Space group P4/mmm (No. 123)
Asymmetric unit:
Re  0.0000  0.0000  0.0000
Ni  0.5000  0.5000  0.2355
Au  0.0000  0.0000  0.5000

***

VASP calculation (meta-GGA SCAN) on ReNiAu at its PBEsol-relaxed geometry.

Summary:
The value obtained for the total energy is -51.5406 eV/atom.

Unit cell a=5.6798 b=5.6798 c=5.6798 alpha=90.00 beta=90.00 gamma=90.00
Space group F-43m (No. 216)
Asymmetric unit:
Re  0.0000  0.0000  0.0000
Ni  0.2500  0.2500  0.2500
Au  0.0000  0.0000  0.5000

***

VASP calculation (meta-GGA SCAN) on Ni6RhAu at its PBEsol-relaxed geometry.

Summary:
The value obtained for the total energy is -24.9634 eV/atom.

Unit cell a=7.1979 b=10.1844 c=10.1893 alpha=90.00 beta=90.00 gamma=90.00
Space group Cmmm (No. 65)
Asymmetric unit:
Ni  0.0000  0.0000  0.0000
Ni  0.0000  0.0000  0.5000
Ni  0.0000  0.2467  0.2449
Ni  0.0000  0.5000  0.0000
Ni  0.0000  0.5000  0.5000
Ni  0.2454  0.1238  0.3719
Ni  0.2458  0.1266  0.1222
Rh  0.0000  0.0000  0.2498
Rh  0.0000  0.2509  0.0000
Au  0.0000  0.2525  0.5000
Au  0.0000  0.5000  0.2484

***

VASP calculation (meta-GGA SCAN) on NiRhAu at its PBEsol-relaxed geometry.

Summary:
The value obtained for the total energy is -39.6151 eV/atom.

Unit cell a=2.7212 b=2.7212 c=6.4862 alpha=90.00 beta=90.00 gamma=120.00
Space group P3m1 (No. 156)
Asymmetric unit:
Ni  0.0000  0.0000  0.0000
Rh  0.3333  0.6667  0.6988
Au  0.6667  0.3333  0.3336

***

VASP calculation (meta-GGA SCAN) on NiRhAu3 at its PBEsol-relaxed geometry.

Summary:
The value obtained for the total energy is -50.4167 eV/atom.

Unit cell a=4.5555 b=4.5555 c=4.5555 alpha=90.00 beta=90.00 gamma=90.00
Space group Pm-3m (No. 221)
Asymmetric unit:
Ni  0.0000  0.0000  0.0000
Rh  0.5000  0.5000  0.5000
Au  0.0000  0.0000  0.5000

***

VASP calculation (meta-GGA SCAN) on NiRu2Au at its PBEsol-relaxed geometry.

Summary:
The value obtained for the total energy is -38.1928 eV/atom.

Unit cell a=6.0278 b=6.0278 c=6.0278 alpha=90.00 beta=90.00 gamma=90.00
Space group Fm-3m (No. 225)
Asymmetric unit:
Ni  0.0000  0.0000  0.0000
Ru  0.2500  0.2500  0.2500
Au  0.0000  0.0000  0.5000

***

VASP calculation (meta-GGA SCAN) on NiRuAu at its PBEsol-relaxed geometry.

Summary:
The distance to the lowest polymorph of the same formula comes out at 0 meV/atom. The value obtained for the total energy is -39.5021 eV/atom.

Unit cell a=5.6843 b=5.6843 c=5.6843 alpha=90.00 beta=90.00 gamma=90.00
Space group F-43m (No. 216)
Asymmetric unit:
Ni  0.0000  0.0000  0.0000
Ru  0.2500  0.2500  0.2500
Au  0.2500  0.2500  0.7500

***

VASP calculation (meta-GGA SCAN) on Ni2RuAu at its PBEsol-relaxed geometry.

Summary:
The distance to the lowest polymorph of the same formula comes out at 10 meV/atom. The value obtained for the total energy is -33.8444 eV/atom.

Unit cell a=3.6562 b=3.6562 c=7.6938 alpha=90.00 beta=90.00 gamma=90.00
Space group I-4m2 (No. 119)
Asymmetric unit:
Ni  0.0000  0.0000  0.0000
Ni  0.0000  0.5000  0.2500
Ru  0.0000  0.0000  0.5000
Au  0.0000  0.5000  0.7500

***

VASP calculation (meta-GGA SCAN) on Ni2RuAu at its PBEsol-relaxed geometry.

Summary:
The distance to the lowest polymorph of the same formula comes out at 0 meV/atom. The value obtained for the total energy is -33.8542 eV/atom.

Unit cell a=5.9103 b=5.9103 c=5.9103 alpha=90.00 beta=90.00 gamma=90.00
Space group Fm-3m (No. 225)
Asymmetric unit:
Ni  0.2500  0.2500  0.2500
Ru  0.0000  0.0000  0.0000
Au  0.0000  0.0000  0.5000

***

VASP calculation (meta-GGA SCAN) on Ni2RuAu at its PBEsol-relaxed geometry.

Summary:
The distance to the lowest polymorph of the same formula comes out at 7 meV/atom. The value obtained for the total energy is -33.8472 eV/atom.

Unit cell a=3.8418 b=3.8418 c=3.4876 alpha=90.00 beta=90.00 gamma=90.00
Space group P4/mmm (No. 123)
Asymmetric unit:
Ni  0.0000  0.5000  0.0000
Ru  0.0000  0.0000  0.5000
Au  0.5000  0.5000  0.5000

***

VASP calculation (meta-GGA SCAN) on NiAuS3 at its PBEsol-relaxed geometry.

Summary:
Its formation energy from raw total energies is 0.68 eV/atom. The distance to the lowest polymorph of the same formula comes out at 0 meV/atom. The value obtained for the total energy is -22.1627 eV/atom.

Unit cell a=4.3809 b=4.3809 c=4.3809 alpha=90.00 beta=90.00 gamma=90.00
Space group Pm-3m (No. 221)
Asymmetric unit:
Ni  0.0000  0.0000  0.0000
Au  0.5000  0.5000  0.5000
S  0.0000  0.0000  0.5000

***

VASP calculation (meta-GGA SCAN) on SrNiAuS2 at its PBEsol-relaxed geometry.

Summary:
Its formation energy from raw total energies is -0.73 eV/atom. The value obtained for the total energy is -26.1044 eV/atom.

Unit cell a=4.5471 b=4.5471 c=4.7385 alpha=90.00 beta=90.00 gamma=90.00
Space group P4/mmm (No. 123)
Asymmetric unit:
Sr  0.0000  0.0000  0.0000
Ni  0.5000  0.5000  0.5000
Au  0.5000  0.5000  0.0000
S  0.0000  0.5000  0.5000

***

| no. | total moment (μB/cell) |
| --- | --- |
| 1 | 0.00 |
| 2 | 0.00 |
| 3 | 46.05 |
| 4 | 1.47 |
| 5 | 2.00 |
| 6 | 0.00 |
| 7 | 7.07 |
| 8 | 6.51 |
| 9 | 13.92 |
| 10 | 3.80 |
| 11 | 0.01 |
| 12 | 0.00 |